(1)
This record from OQMD via LeMat-Bulk describes a geometry-optimized YGaHg2Br6 structure. The functional is PBE.

Output
space group	Fm-3m, No. 225

a = 7.691 Å, b = 7.691 Å, c = 7.691 Å
α = 60.00°, β = 60.00°, γ = 60.00°
Positions (direct):
Br: 0.758 0.242 0.242
Br: 0.242 0.758 0.242
Br: 0.758 0.758 0.242
Br: 0.242 0.242 0.758
Br: 0.758 0.242 0.758
Br: 0.242 0.758 0.758
Ga: 0.000 0.000 0.000
Hg: 0.250 0.250 0.250
Hg: 0.750 0.750 0.750
Y: 0.500 0.500 0.500

***

(2)
This record from OQMD via LeMat-Bulk describes a geometry-optimized LaHoGa2Br2 structure. The functional is PBE.

Output
space group	P3m1, No. 156

a = 4.212 Å, b = 4.212 Å, c = 11.491 Å
α = 90.00°, β = 90.00°, γ = 120.00°
Positions (direct):
Br: 0.333 0.667 0.168
Br: 0.667 0.333 0.848
Ga: 0.667 0.333 0.463
Ga: 0.333 0.667 0.522
Ho: 0.000 0.000 0.317
La: 0.000 0.000 0.683

***

(3)
This record from OQMD via LeMat-Bulk describes a geometry-optimized NdHoGa2Br2 structure. The functional is PBE.

Output
space group	P3m1, No. 156

a = 4.173 Å, b = 4.173 Å, c = 11.367 Å
α = 90.00°, β = 90.00°, γ = 120.00°
Positions (direct):
Br: 0.333 0.667 0.165
Br: 0.667 0.333 0.845
Ga: 0.667 0.333 0.466
Ga: 0.333 0.667 0.524
Ho: 0.000 0.000 0.317
Nd: 0.000 0.000 0.682

***

Number 1: electronic total energy -2.818 eV/atom. Number 2: electronic total energy -4.406 eV/atom. Number 3: electronic total energy -4.351 eV/atom.